Density functional theory data (PBE-GGA) for crystalline In2Ga2Sb at its relaxed geometry.

Results
As for the space group: I4/mmm. The density of states at the Fermi level is 2.2 states/eV/f.u.

Cell: 6.735 6.735 6.735 Å, 139.71 139.71 58.29°
Atoms (fractional coordinates):
In 0.250 0.750 0.500
In 0.750 0.250 0.500
Ga 0.103 0.103 0.000
Ga 0.897 0.897 0.000
Sb 0.500 0.500 0.000



Density functional theory data (PBE-GGA) for crystalline InGaSb at its relaxed geometry.

Results
As for the space group: Amm2. The density of states at the Fermi level is 0.9 states/eV/f.u.

Cell: 4.559 6.462 6.462 Å, 27.36 90.00 90.00°
Atoms (fractional coordinates):
In 0.000 0.000 0.000
Ga 0.000 0.700 0.700
Sb 0.500 0.834 0.834



Density functional theory data (PBE-GGA) for crystalline InGaSb at its relaxed geometry.

Results
As for the space group: I4mm. The density of states at the Fermi level is 0.9 states/eV/f.u.

Cell: 6.533 6.533 6.533 Å, 148.55 148.55 45.07°
Atoms (fractional coordinates):
In 0.000 0.000 0.000
Ga 0.330 0.330 0.000
Sb 0.687 0.687 0.000



Density functional theory data (PBE-GGA) for crystalline InGa2Sb at its relaxed geometry.

Results
As for the space group: R-3m. The density of states at the Fermi level is 2.2 states/eV/f.u.

Cell: 8.810 8.810 8.810 Å, 26.56 26.56 26.56°
Atoms (fractional coordinates):
In 0.000 0.000 0.000
Ga 0.107 0.107 0.107
Ga 0.893 0.893 0.893
Sb 0.500 0.500 0.500



Record-wise relative energy among the computed polymorphs values, in meV per atom: 107; 74; 83; 124
Record-wise volume values, in Å³ per cell: 127; 87; 76; 121
Record-wise E_tot values, in eV per atom: -2.96; -3.23; -3.22; -3.05